No. 1
# Sr3Cd7Ga4

A relaxed Sr3Cd7Ga4 crystal (PBE-GGA, Alexandria).

Output
Spin magnetization = 0.00 μB per formula unit
N(E_F) = 5.58 states/eV per cell
Calculated formation energy = -0.31 eV per atom

abc: 4.6863 9.0220 9.1456
angles: 70.92 75.15 74.95
Closest atoms and distances in Å follow each position.
Sites, in units of the cell vectors:
Sr1 0.3023 0.1922 0.2032  4 Ga 3.32-3.34, 10 Cd 3.38-3.70
Sr2 0.6977 0.8078 0.7968  4 Ga 3.32-3.34, 10 Cd 3.38-3.70
Sr3 0.0000 0.5000 0.5000  6 Ga 3.50-3.52, 10 Cd 3.57-3.90
Cd1 0.3337 0.8118 0.5208  4 Ga 2.80-2.92, 1 Cd 2.92
Cd2 0.4926 0.2124 0.8023  3 Ga 2.84-3.05, 3 Cd 2.92-3.12
Cd3 0.8471 0.3856 0.9202  3 Ga 2.81-2.86, 2 Cd 3.12
Cd4 0.6663 0.1882 0.4792  4 Ga 2.80-2.92, 1 Cd 2.92
Cd5 0.1529 0.6144 0.0798  3 Ga 2.81-2.86, 2 Cd 3.12
Cd6 0.0000 0.0000 0.0000  2 Ga 2.95, 6 Cd 3.19-3.23
Cd7 0.5074 0.7876 0.1977  3 Ga 2.84-3.05, 3 Cd 2.92-3.12
Ga1 0.6630 0.4572 0.2169  5 Cd 2.80-2.86
Ga2 0.3370 0.5428 0.7831  5 Cd 2.80-2.86
Ga3 0.8682 0.9164 0.3472  6 Cd 2.81-3.05
Ga4 0.1318 0.0836 0.6528  6 Cd 2.81-3.05

---

No. 2
# CsAgF2

A relaxed CsAgF2 crystal (PBE-GGA, Alexandria).

Output
Formation energy (no corrections) = -40.9 kcal/mol of atoms
Spin magnetization = 0.00 μB per formula unit
N(E_F) = 0.00 states/eV per cell

abc: 5.7815 5.7815 7.5417
angles: 67.46 67.46 90.00
Closest atoms and distances in Å follow each position.
Sites, in units of the cell vectors:
Cs1 0.0000 0.0000 0.0000  4 F 2.87
Cs2 0.7500 0.2500 0.5000  4 F 2.87
Ag1 0.5000 0.5000 0.0000  4 F 2.36
Ag2 0.2500 0.7500 0.5000  4 F 2.36
F1 0.5450 0.1250 0.2500  2 Ag 2.36
F2 0.2050 0.6250 0.2500  2 Ag 2.36
F3 0.3750 0.4550 0.7500  2 Ag 2.36
F4 0.8750 0.7950 0.7500  2 Ag 2.36

---

No. 3
# Mn2ReCl

A relaxed Mn2ReCl crystal (PBE-GGA, Alexandria).

Output
Formation energy (no corrections) = 10.4 kcal/mol of atoms
Spin magnetization = 5.82 μB per formula unit
N(E_F) = 3.29 states/eV per cell

abc: 2.8155 2.8155 8.7107
angles: 90.00 90.00 115.22
Closest atoms and distances in Å follow each position.
Sites, in units of the cell vectors:
Re1 0.0000 0.0000 0.4590  2 Mn 2.40
Mn1 0.0000 0.0000 0.0025  2 Cl 2.36, 2 Mn 2.59
Mn2 0.5000 0.5000 0.2444  2 Re 2.40, 2 Mn 2.59
Cl1 0.5000 0.5000 0.7941  2 Mn 2.36